# La5SmTlCd2

Crystalline La5SmTlCd2 at its relaxed geometry (PBE-GGA, Alexandria via LeMat-Bulk).

Computed properties:
Formation energy: -0.905 eV/f.u.
Total moment: 0.0000 μB/atom
Crystal system: tetragonal

Cell: 11.306 11.306 11.306 Å, 139.14 139.14 59.17°
Element x y z (fractional)
La 0.000 0.000 0.000
La 0.074 0.574 0.918
La 0.156 0.074 0.500
La 0.344 0.844 0.918
La 0.426 0.344 0.500
La 0.500 0.500 0.000
La 0.574 0.656 0.500
La 0.656 0.156 0.082
La 0.844 0.926 0.500
La 0.926 0.426 0.082
Sm 0.250 0.250 0.000
Sm 0.750 0.750 0.000
Tl 0.250 0.750 0.500
Tl 0.750 0.250 0.500
Cd 0.120 0.380 0.500
Cd 0.380 0.880 0.261
Cd 0.620 0.120 0.739
Cd 0.880 0.620 0.500